Density functional theory data (GGA-PBE) for a relaxed structure of CdAg6.

```
CdAg6
1.0
-0.321 0.574 6.473
-2.261 -5.837 -1.775
6.185 0.607 -1.927
Cd Ag
1 6
Cartesian
0.000 0.000 0.000 Cd
1.316 -3.931 -0.676 Ag
-0.310 -3.939 1.424 Ag
3.428 -2.320 -0.714 Ag
2.286 -0.725 3.448 Ag
3.913 -0.717 1.348 Ag
0.175 -2.336 3.486 Ag
```

Output
The value obtained for the total energy is -13.1 eV for the cell shown. For the energy relative to the elements, the calculation gives 699 meV per atom. The distance to the lowest polymorph of the same formula is 64.9 kJ per mole of atoms. As for the space group: No. 229.